VASP calculation (PBE-GGA) on an optimized crystal structure of Dy2AlCo5Si2.

a = 9.403 Å, b = 9.403 Å, c = 3.258 Å
α = 90.00°, β = 90.00°, γ = 90.00°
Sites, in units of the cell vectors:
Dy (0.177, 0.323, 0.000)
Dy (0.323, 0.823, 0.000)
Dy (0.677, 0.177, 0.000)
Dy (0.823, 0.677, 0.000)
Al (0.000, 0.000, 0.000)
Al (0.500, 0.500, 0.000)
Co (0.000, 0.500, 0.500)
Co (0.065, 0.784, 0.500)
Co (0.216, 0.065, 0.500)
Co (0.284, 0.565, 0.500)
Co (0.435, 0.284, 0.500)
Co (0.500, 0.000, 0.500)
Co (0.565, 0.716, 0.500)
Co (0.716, 0.435, 0.500)
Co (0.784, 0.935, 0.500)
Co (0.935, 0.216, 0.500)
Si (0.120, 0.620, 0.000)
Si (0.380, 0.120, 0.000)
Si (0.620, 0.880, 0.000)
Si (0.880, 0.380, 0.000)

Computed properties:
- formation energy (no corrections) (meV/atom) = -463
- D(E_F) (states/eV per cell) = 10.03
- total magnetic moment (μB per cell) = 0.00
- SG = P4/mbm (127)



VASP calculation (PBE-GGA) on an optimized crystal structure of LaRe2Se.

a = 10.459 Å, b = 10.459 Å, c = 10.459 Å
α = 157.08°, β = 157.08°, γ = 32.64°
Sites, in units of the cell vectors:
La (0.000, 0.000, 0.000)
La (0.750, 0.250, 0.500)
Re (0.217, 0.625, 0.092)
Re (0.375, 0.467, 0.592)
Re (0.533, 0.125, 0.908)
Re (0.875, 0.783, 0.408)
Se (0.250, 0.750, 0.500)
Se (0.500, 0.500, 0.000)

Computed properties:
- formation energy (no corrections) (meV/atom) = 316
- D(E_F) (states/eV per cell) = 6.08
- total magnetic moment (μB per cell) = 0.00
- SG = I-42d (122)



VASP calculation (PBE-GGA) on an optimized crystal structure of PrMgCdBi3.

a = 7.031 Å, b = 4.696 Å, c = 11.140 Å
α = 90.00°, β = 99.00°, γ = 90.00°
Sites, in units of the cell vectors:
Pr (0.216, 0.250, 0.300)
Pr (0.784, 0.750, 0.700)
Mg (0.331, 0.750, 0.829)
Mg (0.669, 0.250, 0.171)
Cd (0.100, 0.250, 0.604)
Cd (0.900, 0.750, 0.396)
Bi (0.069, 0.250, 0.868)
Bi (0.332, 0.750, 0.533)
Bi (0.396, 0.750, 0.129)
Bi (0.604, 0.250, 0.871)
Bi (0.668, 0.250, 0.467)
Bi (0.931, 0.750, 0.132)

Computed properties:
- D(E_F) (states/eV per cell) = 3.78
- total magnetic moment (μB per cell) = 0.00
- SG = P2_1/m (11)



VASP calculation (PBE-GGA) on an optimized crystal structure of CaZn2W.

a = 4.681 Å, b = 4.681 Å, c = 4.681 Å
α = 60.00°, β = 60.00°, γ = 60.00°
Sites, in units of the cell vectors:
Ca (0.000, 0.000, 0.000)
Zn (0.250, 0.250, 0.250)
Zn (0.750, 0.750, 0.750)
W (0.500, 0.500, 0.500)

Computed properties:
- D(E_F) (states/eV per cell) = 3.93
- total magnetic moment (μB per cell) = 0.00
- SG = Fm-3m (225)



VASP calculation (PBE-GGA) on an optimized crystal structure of ErGaPdAu.

a = 4.744 Å, b = 4.744 Å, c = 4.744 Å
α = 60.00°, β = 60.00°, γ = 60.00°
Sites, in units of the cell vectors:
Er (0.000, 0.000, 0.000)
Ga (0.500, 0.500, 0.500)
Pd (0.250, 0.250, 0.250)
Au (0.750, 0.750, 0.750)

Computed properties:
- D(E_F) (states/eV per cell) = 1.76
- total magnetic moment (μB per cell) = 0.00
- SG = F-43m (216)



VASP calculation (PBE-GGA) on an optimized crystal structure of CaCo3As2.

a = 7.716 Å, b = 7.716 Å, c = 7.229 Å
α = 114.04°, β = 114.04°, γ = 28.67°
Sites, in units of the cell vectors:
Ca (0.149, 0.149, 0.062)
Ca (0.851, 0.851, 0.938)
Co (0.041, 0.041, 0.389)
Co (0.315, 0.315, 0.556)
Co (0.415, 0.415, 0.352)
Co (0.585, 0.585, 0.648)
Co (0.685, 0.685, 0.444)
Co (0.959, 0.959, 0.611)
As (0.192, 0.192, 0.675)
As (0.477, 0.477, 0.801)
As (0.523, 0.523, 0.199)
As (0.808, 0.808, 0.325)

Computed properties:
- D(E_F) (states/eV per cell) = 7.54
- total magnetic moment (μB per cell) = 4.43
- SG = C2/m (12)



VASP calculation (PBE-GGA) on an optimized crystal structure of Cs2Tl2Te4Pb.

a = 9.417 Å, b = 9.417 Å, c = 9.054 Å
α = 108.82°, β = 108.82°, γ = 30.92°
Sites, in units of the cell vectors:
Cs (0.128, 0.128, 0.066)
Cs (0.872, 0.872, 0.934)
Tl (0.332, 0.332, 0.527)
Tl (0.668, 0.668, 0.473)
Te (0.194, 0.194, 0.685)
Te (0.499, 0.499, 0.743)
Te (0.501, 0.501, 0.257)
Te (0.806, 0.806, 0.315)
Pb (0.000, 0.000, 0.500)

Computed properties:
- formation energy (no corrections) (meV/atom) = -542
- D(E_F) (states/eV per cell) = 3.39
- total magnetic moment (μB per cell) = 0.00
- SG = C2/m (12)



VASP calculation (PBE-GGA) on an optimized crystal structure of DyHfOsRu.

a = 4.693 Å, b = 4.693 Å, c = 4.693 Å
α = 60.00°, β = 60.00°, γ = 60.00°
Sites, in units of the cell vectors:
Dy (0.000, 0.000, 0.000)
Hf (0.500, 0.500, 0.500)
Os (0.750, 0.750, 0.750)
Ru (0.250, 0.250, 0.250)

Computed properties:
- D(E_F) (states/eV per cell) = 2.39
- total magnetic moment (μB per cell) = 0.00
- SG = F-43m (216)



VASP calculation (PBE-GGA) on an optimized crystal structure of Al2IrSe.

a = 3.286 Å, b = 3.286 Å, c = 5.900 Å
α = 90.00°, β = 90.00°, γ = 90.00°
Sites, in units of the cell vectors:
Al (0.000, 0.000, 0.228)
Al (0.000, 0.000, 0.772)
Ir (0.500, 0.500, 0.000)
Se (0.500, 0.500, 0.500)

Computed properties:
- formation energy (no corrections) (meV/atom) = -277
- D(E_F) (states/eV per cell) = 1.88
- total magnetic moment (μB per cell) = 0.00
- SG = P4/mmm (123)



VASP calculation (PBE-GGA) on an optimized crystal structure of SrCu3Ni.

a = 5.146 Å, b = 5.146 Å, c = 5.146 Å
α = 90.00°, β = 90.00°, γ = 90.00°
Sites, in units of the cell vectors:
Sr (0.000, 0.000, 0.000)
Cu (0.000, 0.000, 0.500)
Cu (0.000, 0.500, 0.000)
Cu (0.500, 0.000, 0.000)
Ni (0.500, 0.500, 0.500)

Computed properties:
- D(E_F) (states/eV per cell) = 13.66
- total magnetic moment (μB per cell) = 0.00
- SG = Pm-3m (221)



VASP calculation (PBE-GGA) on an optimized crystal structure of Pm2Pa4Ge3N2.

a = 12.373 Å, b = 12.373 Å, c = 12.373 Å
α = 158.63°, β = 158.63°, γ = 30.40°
Sites, in units of the cell vectors:
Pm (0.199, 0.199, 0.000)
Pm (0.801, 0.801, 0.000)
Pa (0.082, 0.582, 0.500)
Pa (0.418, 0.918, 0.500)
Pa (0.582, 0.082, 0.500)
Pa (0.918, 0.418, 0.500)
Ge (0.329, 0.329, 0.000)
Ge (0.500, 0.500, 0.000)
Ge (0.671, 0.671, 0.000)
N (0.090, 0.090, 0.000)
N (0.910, 0.910, 0.000)

Computed properties:
- formation energy (no corrections) (meV/atom) = -863
- D(E_F) (states/eV per cell) = 12.95
- total magnetic moment (μB per cell) = 0.00
- SG = I4/mmm (139)



VASP calculation (PBE-GGA) on an optimized crystal structure of CoNiN2.

a = 5.237 Å, b = 5.237 Å, c = 5.237 Å
α = 131.52°, β = 131.52°, γ = 70.99°
Sites, in units of the cell vectors:
Co (0.000, 0.000, 0.000)
Co (0.750, 0.250, 0.500)
Ni (0.250, 0.750, 0.500)
Ni (0.500, 0.500, 0.000)
N (0.111, 0.625, 0.986)
N (0.375, 0.361, 0.486)
N (0.639, 0.125, 0.014)
N (0.875, 0.889, 0.514)

Computed properties:
- formation energy (no corrections) (meV/atom) = 248
- D(E_F) (states/eV per cell) = 6.40
- total magnetic moment (μB per cell) = 0.00
- SG = I-42d (122)



Energy (eV/atom)
-6.40, -8.01, -3.50, -3.86, -4.74, -5.89, -3.07, -9.22, -5.23, -2.09, -7.95, -7.14